[1]
A plane-wave DFT calculation with PBE with a Hubbard U was carried out for a relaxed Rb2BeCoF6 crystal.

Computed properties:
total energy: -47.31 eV per cell
calculated density: 4.190 g/cm3
spin magnetization: 3.000 Bohr magnetons per cell

a = 5.5316 Å, b = 5.5316 Å, c = 6.0160 Å
α = 62.63°, β = 62.63°, γ = 90.00°
With the nearest neighbours (Å) after each atom.
Fractional positions:
Be 0.5000 0.5000 0.0000  4 F 1.69
Co 0.0000 0.0000 0.0000  2 F 1.94
Rb 0.7500 0.2500 0.5000  12 F 2.79-3.02
Rb 0.2500 0.7500 0.5000  12 F 2.79-3.02
F 0.2117 0.2117 0.5766  1 Co 1.94
F 0.7883 0.7883 0.4234  1 Co 1.94
F 0.2844 0.2844 0.0000  1 Be 1.69
F 0.7156 0.7156 0.0000  1 Be 1.69
F 0.7156 0.2844 0.0000  1 Be 1.69
F 0.2844 0.7156 0.0000  1 Be 1.69

=====

[2]
A plane-wave DFT calculation with PBE with a Hubbard U was carried out for a relaxed GeMoN2O crystal.

Computed properties:
total energy: -32.20 eV per cell
calculated density: 5.635 g/cm3
spin magnetization: 0.009 Bohr magnetons per cell

a = 4.0059 Å, b = 4.0059 Å, c = 3.9037 Å
α = 90.00°, β = 90.00°, γ = 90.00°
With the nearest neighbours (Å) after each atom.
Fractional positions:
Mo 0.0000 0.0000 0.0000  2 O 1.95, 4 N 2.00
Ge 0.5000 0.5000 0.5000  8 N 2.80, 4 O 2.83
O 0.0000 0.0000 0.5000  2 Mo 1.95
N 0.0000 0.5000 0.0000  2 Mo 2.00
N 0.5000 0.0000 0.0000  2 Mo 2.00